Entry 1:
# In4ReIr

A geometry-optimized In4ReIr structure (PBE-GGA, the Alexandria database).

Results
SG: F-43m
E_form: 1212 meV per atom
Uncorrected energy: -4.165 eV/atom
Fermi-level density of states: 0.993 states/eV per atom

```
In4ReIr
1.0
0.000 3.924 3.924
3.924 0.000 3.924
3.924 3.924 0.000
In Re Ir
4 1 1
Direct
0.125 0.125 0.125
0.125 0.125 0.625
0.125 0.625 0.125
0.625 0.125 0.125
0.500 0.500 0.500
0.750 0.750 0.750
```

---

Entry 2:
# InRe2Ir

A geometry-optimized InRe2Ir structure (PBE-GGA, the Alexandria database).

Results
Energy above the lowest structure with this stoichiometry: 0.000 eV per formula unit
SG: P4mm
E_form: 130 meV per atom
Uncorrected energy: -8.994 eV/atom
Fermi-level density of states: 0.581 states/eV per atom

```
InRe2Ir
1.0
2.881 0.000 0.000
0.000 2.881 0.000
0.000 0.000 7.787
In Re Ir
1 2 1
Direct
0.000 0.000 0.000
0.000 0.000 0.500
0.500 0.500 0.722
0.500 0.500 0.265
```

---

Entry 3:
# InReIr2

A geometry-optimized InReIr2 structure (PBE-GGA, the Alexandria database).

Results
Energy above the lowest structure with this stoichiometry: 0.871 eV per formula unit
SG: Cm
E_form: 116 meV per atom
Uncorrected energy: -8.111 eV/atom
Fermi-level density of states: 0.777 states/eV per atom

```
InReIr2
1.0
4.654 -1.424 0.000
4.654 1.424 0.000
-0.831 0.000 4.814
In Re Ir
1 1 2
Direct
0.000 0.000 0.000
0.238 0.238 0.685
0.500 0.500 0.507
0.754 0.754 0.217
```

---

Entry 4:
# InRe2Ir

A geometry-optimized InRe2Ir structure (PBE-GGA, the Alexandria database).

Results
Energy above the lowest structure with this stoichiometry: 0.448 eV per formula unit
SG: Pmm2
E_form: 242 meV per atom
Uncorrected energy: -8.882 eV/atom
Fermi-level density of states: 0.726 states/eV per atom

```
InRe2Ir
1.0
2.838 0.000 0.000
0.000 3.918 0.000
0.000 0.000 5.836
In Re Ir
1 2 1
Direct
0.000 0.000 0.000
0.000 0.000 0.508
0.500 0.500 0.704
0.500 0.500 0.248
```

---

Entry 5:
# InReIr4

A geometry-optimized InReIr4 structure (PBE-GGA, the Alexandria database).

Results
SG: F-43m
E_form: 550 meV per atom
Uncorrected energy: -7.888 eV/atom
Fermi-level density of states: 1.306 states/eV per atom

```
InReIr4
1.0
0.000 3.665 3.665
3.665 0.000 3.665
3.665 3.665 0.000
In Re Ir
1 1 4
Direct
0.000 0.000 0.000
0.750 0.750 0.750
0.375 0.375 0.375
0.375 0.375 0.875
0.375 0.875 0.375
0.875 0.375 0.375
```

---

Entry 6:
# InRe2Ir

A geometry-optimized InRe2Ir structure (PBE-GGA, the Alexandria database).

Results
Energy above the lowest structure with this stoichiometry: 0.246 eV per formula unit
SG: R3m
E_form: 192 meV per atom
Uncorrected energy: -8.932 eV/atom
Fermi-level density of states: 0.552 states/eV per atom

```
InRe2Ir
1.0
1.433 0.827 9.051
-1.433 0.827 9.051
0.000 -1.654 9.051
In Re Ir
1 2 1
Direct
0.000 0.000 0.000
0.244 0.244 0.244
0.499 0.499 0.499
0.753 0.753 0.753
```